Entry from the Alexandria database: crystalline ZrCu2Os at its relaxed geometry (PBE).

Structure (POSCAR):
```
ZrCu2Os
1.0
4.893 -0.054 -0.023
3.432 3.488 -0.023
1.523 0.628 3.458
Cu Zr Os
2 1 1
direct
0.500 0.500 0.500
0.000 0.000 0.000
0.250 0.250 0.250
0.750 0.750 0.750
```

For the total energy, the calculation gives -0.2600 hartree per atom. The value obtained for the volume is 60 Å³/cell. As for the density of states at the Fermi level: 0.703 states/eV/atom.